The following is a GGA+U calculation of a relaxed structure of Li3FeO, from Alexandria via LeMat-Bulk.

Computed properties:
* V: 19.704 Å³ per atom
* distance to the lowest polymorph of the same formula: 1238.4 meV per atom

Cell and atoms, written as POSCAR:
```
Li3FeO
1.0
-3.8936 -1.9174 1.5795
-1.5117 -0.5014 -4.3353
1.9713 -4.1717 -0.2049
Fe O Li
1 1 3
Cartesian
0.0000 0.0000 0.0000
-1.7170 -3.2953 -1.4803
-0.7559 -0.2507 -2.1676
0.9856 -2.0859 -0.1024
-1.9468 -0.9587 0.7897
```